Sn3Mo2Ir2 (PBE, optimized geometry); spin magnetization = 3.27 μB per formula unit; volume = 19.2 Å³/atom; E = -6.8996 eV per atom; ρ = 11.524 Mg/m³
1.0
2.264 1.307 7.566
-2.264 1.307 7.566
0.000 -2.614 7.566
Sn Mo Ir
3 2 2
Direct
0.000 0.000 0.000 Sn
0.241 0.241 0.241 Sn
0.482 0.482 0.482 Sn
0.118 0.118 0.118 Mo
0.618 0.618 0.618 Mo
0.362 0.362 0.362 Ir
0.866 0.866 0.866 Ir


SrMoIr2 (PBE, optimized geometry); spin magnetization = 0.01 μB per formula unit; volume = 17.7 Å³/atom; E = -6.8350 eV per atom; ρ = 13.304 Mg/m³
1.0
6.570 0.000 0.000
0.000 6.570 0.000
0.000 0.000 6.570
Sr Mo Ir
4 4 8
Direct
0.000 0.000 0.000 Sr
0.000 0.500 0.500 Sr
0.500 0.000 0.500 Sr
0.500 0.500 0.000 Sr
0.250 0.250 0.250 Mo
0.250 0.750 0.750 Mo
0.750 0.250 0.750 Mo
0.750 0.750 0.250 Mo
0.000 0.000 0.500 Ir
0.000 0.500 0.000 Ir
0.250 0.250 0.750 Ir
0.250 0.750 0.250 Ir
0.500 0.000 0.000 Ir
0.500 0.500 0.500 Ir
0.750 0.250 0.250 Ir
0.750 0.750 0.750 Ir


Sr2MoIr (PBE, optimized geometry); spin magnetization = 1.33 μB per formula unit; volume = 22.9 Å³/atom; E = -4.9303 eV per atom; ρ = 8.408 Mg/m³
1.0
7.154 0.000 0.000
0.000 7.154 0.000
0.000 0.000 7.154
Sr Mo Ir
8 4 4
Direct
0.000 0.000 0.000 Sr
0.000 0.500 0.500 Sr
0.250 0.250 0.250 Sr
0.250 0.750 0.750 Sr
0.500 0.000 0.500 Sr
0.500 0.500 0.000 Sr
0.750 0.250 0.750 Sr
0.750 0.750 0.250 Sr
0.000 0.000 0.500 Mo
0.000 0.500 0.000 Mo
0.500 0.000 0.000 Mo
0.500 0.500 0.500 Mo
0.250 0.250 0.750 Ir
0.250 0.750 0.250 Ir
0.750 0.250 0.250 Ir
0.750 0.750 0.750 Ir


TcMoIr2 (PBE, optimized geometry); spin magnetization = 0.00 μB per formula unit; volume = 15.1 Å³/atom; E = -9.5006 eV per atom; ρ = 15.895 Mg/m³
1.0
6.229 0.000 0.000
0.000 6.229 0.000
0.000 0.000 6.229
Tc Mo Ir
4 4 8
Direct
0.000 0.000 0.000 Tc
0.000 0.500 0.500 Tc
0.500 0.000 0.500 Tc
0.500 0.500 0.000 Tc
0.250 0.250 0.250 Mo
0.250 0.750 0.750 Mo
0.750 0.250 0.750 Mo
0.750 0.750 0.250 Mo
0.000 0.000 0.500 Ir
0.000 0.500 0.000 Ir
0.250 0.250 0.750 Ir
0.250 0.750 0.250 Ir
0.500 0.000 0.000 Ir
0.500 0.500 0.500 Ir
0.750 0.250 0.250 Ir
0.750 0.750 0.750 Ir


TcMoIr (PBE, optimized geometry); spin magnetization = 0.01 μB per formula unit; volume = 17.6 Å³/atom; E = -9.5378 eV per atom; ρ = 12.176 Mg/m³
1.0
5.950 0.000 0.000
0.000 5.950 0.000
0.000 0.000 5.950
Tc Mo Ir
4 4 4
Direct
0.000 0.000 0.000 Tc
0.000 0.500 0.500 Tc
0.500 0.000 0.500 Tc
0.500 0.500 0.000 Tc
0.250 0.250 0.750 Mo
0.250 0.750 0.250 Mo
0.750 0.250 0.250 Mo
0.750 0.750 0.750 Mo
0.000 0.000 0.500 Ir
0.000 0.500 0.000 Ir
0.500 0.000 0.000 Ir
0.500 0.500 0.500 Ir


TcMoIr2 (PBE, optimized geometry); spin magnetization = 0.00 μB per formula unit; volume = 14.7 Å³/atom; E = -10.0585 eV per atom; ρ = 16.347 Mg/m³
1.0
2.754 0.000 0.000
0.000 4.417 0.000
0.000 0.000 4.830
Tc Mo Ir
1 1 2
Direct
0.000 0.000 0.000 Tc
0.000 0.500 0.667 Mo
0.500 0.000 0.498 Ir
0.500 0.500 0.157 Ir


Te2MoIr (PBE, optimized geometry); spin magnetization = 0.14 μB per formula unit; volume = 19.9 Å³/atom; E = -5.6210 eV per atom; ρ = 11.361 Mg/m³
1.0
6.823 0.000 0.000
0.000 6.823 0.000
0.000 0.000 6.823
Te Mo Ir
8 4 4
Direct
0.000 0.000 0.000 Te
0.000 0.500 0.500 Te
0.250 0.250 0.250 Te
0.250 0.750 0.750 Te
0.500 0.000 0.500 Te
0.500 0.500 0.000 Te
0.750 0.250 0.750 Te
0.750 0.750 0.250 Te
0.000 0.000 0.500 Mo
0.000 0.500 0.000 Mo
0.500 0.000 0.000 Mo
0.500 0.500 0.500 Mo
0.250 0.250 0.750 Ir
0.250 0.750 0.250 Ir
0.750 0.250 0.250 Ir
0.750 0.750 0.750 Ir


TeMoIr2 (PBE, optimized geometry); spin magnetization = 0.01 μB per formula unit; volume = 16.6 Å³/atom; E = -7.5204 eV per atom; ρ = 15.176 Mg/m³
1.0
6.432 0.000 0.000
0.000 6.432 0.000
0.000 0.000 6.432
Te Mo Ir
4 4 8
Direct
0.000 0.000 0.000 Te
0.000 0.500 0.500 Te
0.500 0.000 0.500 Te
0.500 0.500 0.000 Te
0.250 0.250 0.250 Mo
0.250 0.750 0.750 Mo
0.750 0.250 0.750 Mo
0.750 0.750 0.250 Mo
0.000 0.000 0.500 Ir
0.000 0.500 0.000 Ir
0.250 0.250 0.750 Ir
0.250 0.750 0.250 Ir
0.500 0.000 0.000 Ir
0.500 0.500 0.500 Ir
0.750 0.250 0.250 Ir
0.750 0.750 0.750 Ir


TeMo2Ir (PBE, optimized geometry); spin magnetization = 0.74 μB per formula unit; volume = 17.1 Å³/atom; E = -7.8831 eV per atom; ρ = 12.446 Mg/m³
1.0
6.488 0.000 0.000
0.000 6.488 0.000
0.000 0.000 6.488
Te Mo Ir
4 8 4
Direct
0.000 0.000 0.000 Te
0.000 0.500 0.500 Te
0.500 0.000 0.500 Te
0.500 0.500 0.000 Te
0.000 0.000 0.500 Mo
0.000 0.500 0.000 Mo
0.250 0.250 0.750 Mo
0.250 0.750 0.250 Mo
0.500 0.000 0.000 Mo
0.500 0.500 0.500 Mo
0.750 0.250 0.250 Mo
0.750 0.750 0.750 Mo
0.250 0.250 0.250 Ir
0.250 0.750 0.750 Ir
0.750 0.250 0.750 Ir
0.750 0.750 0.250 Ir


TlMo2Ir (PBE, optimized geometry); spin magnetization = 0.01 μB per formula unit; volume = 17.0 Å³/atom; E = -7.6798 eV per atom; ρ = 14.405 Mg/m³
1.0
6.474 0.000 0.000
0.000 6.474 0.000
0.000 0.000 6.474
Tl Mo Ir
4 8 4
Direct
0.000 0.000 0.000 Tl
0.000 0.500 0.500 Tl
0.500 0.000 0.500 Tl
0.500 0.500 0.000 Tl
0.000 0.000 0.500 Mo
0.000 0.500 0.000 Mo
0.250 0.250 0.750 Mo
0.250 0.750 0.250 Mo
0.500 0.000 0.000 Mo
0.500 0.500 0.500 Mo
0.750 0.250 0.250 Mo
0.750 0.750 0.750 Mo
0.250 0.250 0.250 Ir
0.250 0.750 0.750 Ir
0.750 0.250 0.750 Ir
0.750 0.750 0.250 Ir


TmMoIr (PBE, optimized geometry); spin magnetization = 2.85 μB per formula unit; volume = 21.7 Å³/atom; E = -7.0953 eV per atom; ρ = 11.686 Mg/m³
1.0
6.381 0.000 0.000
0.000 6.381 0.000
0.000 0.000 6.381
Tm Mo Ir
4 4 4
Direct
0.000 0.000 0.000 Tm
0.000 0.500 0.500 Tm
0.500 0.000 0.500 Tm
0.500 0.500 0.000 Tm
0.250 0.250 0.250 Mo
0.250 0.750 0.750 Mo
0.750 0.250 0.750 Mo
0.750 0.750 0.250 Mo
0.250 0.250 0.750 Ir
0.250 0.750 0.250 Ir
0.750 0.250 0.250 Ir
0.750 0.750 0.750 Ir


MoIr2W (PBE, optimized geometry); spin magnetization = 0.00 μB per formula unit; volume = 15.1 Å³/atom; E = -10.6949 eV per atom; ρ = 18.279 Mg/m³
1.0
2.781 0.000 0.000
0.000 4.469 0.000
0.000 0.000 4.855
Mo Ir W
1 2 1
Direct
0.000 0.000 0.000 Mo
0.500 0.000 0.495 Ir
0.500 0.500 0.846 Ir
0.000 0.500 0.341 W


Y2Mo2Ir (PBE, optimized geometry); spin magnetization = 0.48 μB per formula unit; volume = 22.7 Å³/atom; E = -8.3977 eV per atom; ρ = 8.221 Mg/m³
1.0
4.920 0.000 0.000
-2.460 4.260 0.000
0.000 0.000 10.831
Y Mo Ir
4 4 2
Direct
0.000 0.000 0.000 Y
0.000 0.000 0.500 Y
0.333 0.667 0.250 Y
0.667 0.333 0.750 Y
0.333 0.667 0.645 Mo
0.333 0.667 0.855 Mo
0.667 0.333 0.145 Mo
0.667 0.333 0.355 Mo
0.000 0.000 0.250 Ir
0.000 0.000 0.750 Ir


YMo2Ir (PBE, optimized geometry); spin magnetization = 0.02 μB per formula unit; volume = 17.5 Å³/atom; E = -9.2243 eV per atom; ρ = 11.217 Mg/m³
1.0
6.543 0.000 0.000
0.000 6.543 0.000
0.000 0.000 6.543
Y Mo Ir
4 8 4
Direct
0.000 0.000 0.000 Y
0.000 0.500 0.500 Y
0.500 0.000 0.500 Y
0.500 0.500 0.000 Y
0.000 0.000 0.500 Mo
0.000 0.500 0.000 Mo
0.250 0.250 0.750 Mo
0.250 0.750 0.250 Mo
0.500 0.000 0.000 Mo
0.500 0.500 0.500 Mo
0.750 0.250 0.250 Mo
0.750 0.750 0.750 Mo
0.250 0.250 0.250 Ir
0.250 0.750 0.750 Ir
0.750 0.250 0.750 Ir
0.750 0.750 0.250 Ir


YMoIr (PBE, optimized geometry); spin magnetization = 2.96 μB per formula unit; volume = 22.4 Å³/atom; E = -7.6267 eV per atom; ρ = 9.309 Mg/m³
1.0
6.456 0.000 0.000
0.000 6.456 0.000
0.000 0.000 6.456
Y Mo Ir
4 4 4
Direct
0.000 0.000 0.000 Y
0.000 0.500 0.500 Y
0.500 0.000 0.500 Y
0.500 0.500 0.000 Y
0.250 0.250 0.250 Mo
0.250 0.750 0.750 Mo
0.750 0.250 0.750 Mo
0.750 0.750 0.250 Mo
0.250 0.250 0.750 Ir
0.250 0.750 0.250 Ir
0.750 0.250 0.250 Ir
0.750 0.750 0.750 Ir


YMoIr2 (PBE, optimized geometry); spin magnetization = 0.63 μB per formula unit; volume = 17.2 Å³/atom; E = -8.6638 eV per atom; ρ = 13.772 Mg/m³
1.0
6.499 0.000 0.000
0.000 6.499 0.000
0.000 0.000 6.499
Y Mo Ir
4 4 8
Direct
0.000 0.000 0.000 Y
0.000 0.500 0.500 Y
0.500 0.000 0.500 Y
0.500 0.500 0.000 Y
0.250 0.250 0.250 Mo
0.250 0.750 0.750 Mo
0.750 0.250 0.750 Mo
0.750 0.750 0.250 Mo
0.000 0.000 0.500 Ir
0.000 0.500 0.000 Ir
0.250 0.250 0.750 Ir
0.250 0.750 0.250 Ir
0.500 0.000 0.000 Ir
0.500 0.500 0.500 Ir
0.750 0.250 0.250 Ir
0.750 0.750 0.750 Ir


Y2Mo3Ir2 (PBE, optimized geometry); spin magnetization = 0.01 μB per formula unit; volume = 18.9 Å³/atom; E = -8.7494 eV per atom; ρ = 10.669 Mg/m³
1.0
2.277 1.315 7.365
-2.277 1.315 7.365
0.000 -2.630 7.365
Y Mo Ir
2 3 2
Direct
0.000 0.000 0.000 Y
0.479 0.479 0.479 Y
0.359 0.359 0.359 Mo
0.607 0.607 0.607 Mo
0.865 0.865 0.865 Mo
0.241 0.241 0.241 Ir
0.744 0.744 0.744 Ir


Zn2MoIr (PBE, optimized geometry); spin magnetization = 0.34 μB per formula unit; volume = 14.6 Å³/atom; E = -5.5603 eV per atom; ρ = 11.886 Mg/m³
1.0
6.163 0.000 0.000
0.000 6.163 0.000
0.000 0.000 6.163
Zn Mo Ir
8 4 4
Direct
0.000 0.000 0.000 Zn
0.000 0.500 0.500 Zn
0.250 0.250 0.250 Zn
0.250 0.750 0.750 Zn
0.500 0.000 0.500 Zn
0.500 0.500 0.000 Zn
0.750 0.250 0.750 Zn
0.750 0.750 0.250 Zn
0.250 0.250 0.750 Mo
0.250 0.750 0.250 Mo
0.750 0.250 0.250 Mo
0.750 0.750 0.750 Mo
0.000 0.000 0.500 Ir
0.000 0.500 0.000 Ir
0.500 0.000 0.000 Ir
0.500 0.500 0.500 Ir


ZnMoIr2 (PBE, optimized geometry); spin magnetization = 0.55 μB per formula unit; volume = 14.9 Å³/atom; E = -7.2955 eV per atom; ρ = 15.255 Mg/m³
1.0
6.194 0.000 0.000
0.000 6.194 0.000
0.000 0.000 6.194
Zn Mo Ir
4 4 8
Direct
0.000 0.000 0.000 Zn
0.000 0.500 0.500 Zn
0.500 0.000 0.500 Zn
0.500 0.500 0.000 Zn
0.250 0.250 0.750 Mo
0.250 0.750 0.250 Mo
0.750 0.250 0.250 Mo
0.750 0.750 0.750 Mo
0.000 0.000 0.500 Ir
0.000 0.500 0.000 Ir
0.250 0.250 0.250 Ir
0.250 0.750 0.750 Ir
0.500 0.000 0.000 Ir
0.500 0.500 0.500 Ir
0.750 0.250 0.750 Ir
0.750 0.750 0.250 Ir


ZrMoIr (PBE, optimized geometry); spin magnetization = 0.01 μB per formula unit; volume = 20.3 Å³/atom; E = -9.3516 eV per atom; ρ = 10.355 Mg/m³
1.0
6.243 0.000 0.000
0.000 6.243 0.000
0.000 0.000 6.243
Zr Mo Ir
4 4 4
Direct
0.000 0.000 0.000 Zr
0.000 0.500 0.500 Zr
0.500 0.000 0.500 Zr
0.500 0.500 0.000 Zr
0.000 0.000 0.500 Mo
0.000 0.500 0.000 Mo
0.500 0.000 0.000 Mo
0.500 0.500 0.500 Mo
0.250 0.250 0.750 Ir
0.250 0.750 0.250 Ir
0.750 0.250 0.250 Ir
0.750 0.750 0.750 Ir


IrN2 (PBE, optimized geometry); spin magnetization = 0.00 μB per formula unit; volume = 10.8 Å³/atom; E = -7.6185 eV per atom; ρ = 11.326 Mg/m³
1.0
4.573 0.000 0.000
0.000 4.573 0.000
0.000 0.000 3.088
Ir N
2 4
Direct
0.000 0.000 0.000 Ir
0.500 0.500 0.500 Ir
0.197 0.197 0.500 N
0.303 0.697 0.000 N
0.697 0.303 0.000 N
0.803 0.803 0.500 N


IrN (PBE, optimized geometry); spin magnetization = 0.02 μB per formula unit; volume = 12.4 Å³/atom; E = -7.8271 eV per atom; ρ = 13.779 Mg/m³
1.0
4.632 0.000 0.000
0.000 4.632 0.000
0.000 0.000 4.632
Ir N
4 4
Direct
0.000 0.000 0.000 Ir
0.000 0.500 0.500 Ir
0.500 0.000 0.500 Ir
0.500 0.500 0.000 Ir
0.250 0.250 0.750 N
0.250 0.750 0.250 N
0.750 0.250 0.250 N
0.750 0.750 0.750 N


IrN (PBE, optimized geometry); spin magnetization = 0.30 μB per formula unit; volume = 10.6 Å³/atom; E = -7.1102 eV per atom; ρ = 16.166 Mg/m³
1.0
4.392 0.000 0.000
0.000 4.392 0.000
0.000 0.000 4.392
Ir N
4 4
Direct
0.000 0.000 0.000 Ir
0.000 0.500 0.500 Ir
0.500 0.000 0.500 Ir
0.500 0.500 0.000 Ir
0.000 0.000 0.500 N
0.000 0.500 0.000 N
0.500 0.000 0.000 N
0.500 0.500 0.500 N


IrN (PBE, optimized geometry); spin magnetization = 0.00 μB per formula unit; volume = 11.3 Å³/atom; E = -7.8307 eV per atom; ρ = 15.211 Mg/m³
1.0
5.518 0.000 0.000
0.000 3.605 0.000
0.000 0.000 4.527
Ir N
4 4
Direct
0.094 0.250 0.204 Ir
0.406 0.750 0.704 Ir
0.594 0.250 0.296 Ir
0.906 0.750 0.796 Ir
0.137 0.750 0.416 N
0.363 0.250 0.916 N
0.637 0.750 0.084 N
0.863 0.250 0.584 N


Ir2N (PBE, optimized geometry); spin magnetization = 0.00 μB per formula unit; volume = 12.9 Å³/atom; E = -7.2299 eV per atom; ρ = 17.101 Mg/m³
1.0
5.369 0.000 0.000
0.000 5.369 0.000
0.000 0.000 5.369
Ir N
8 4
Direct
0.250 0.250 0.250 Ir
0.250 0.250 0.750 Ir
0.250 0.750 0.250 Ir
0.250 0.750 0.750 Ir
0.750 0.250 0.250 Ir
0.750 0.250 0.750 Ir
0.750 0.750 0.250 Ir
0.750 0.750 0.750 Ir
0.000 0.000 0.000 N
0.000 0.500 0.500 N
0.500 0.000 0.500 N
0.500 0.500 0.000 N


IrN2 (PBE, optimized geometry); spin magnetization = 0.02 μB per formula unit; volume = 10.2 Å³/atom; E = -7.5079 eV per atom; ρ = 11.950 Mg/m³
1.0
3.075 0.000 0.000
-1.537 2.663 0.000
0.000 0.000 7.476
Ir N
2 4
Direct
0.333 0.667 0.250 Ir
0.667 0.333 0.750 Ir
0.000 0.000 0.084 N
0.000 0.000 0.416 N
0.000 0.000 0.584 N
0.000 0.000 0.916 N


IrN2 (PBE, optimized geometry); spin magnetization = 0.00 μB per formula unit; volume = 9.7 Å³/atom; E = -5.3638 eV per atom; ρ = 12.602 Mg/m³
1.0
0.000 3.073 3.073
3.073 0.000 3.073
3.073 3.073 0.000
Ir N
2 4
Direct
0.125 0.125 0.125 Ir
0.875 0.875 0.875 Ir
0.000 0.500 0.500 N
0.500 0.000 0.500 N
0.500 0.500 0.000 N
0.500 0.500 0.500 N


Ir5N (PBE, optimized geometry); spin magnetization = 0.81 μB per formula unit; volume = 16.4 Å³/atom; E = -7.1446 eV per atom; ρ = 16.419 Mg/m³
1.0
5.048 0.000 0.000
-2.524 4.372 0.000
0.000 0.000 4.469
Ir N
5 1
Direct
0.000 0.500 0.000 Ir
0.333 0.667 0.500 Ir
0.500 0.000 0.000 Ir
0.500 0.500 0.000 Ir
0.667 0.333 0.500 Ir
0.000 0.000 0.500 N


Ir2N (PBE, optimized geometry); spin magnetization = 0.00 μB per formula unit; volume = 12.7 Å³/atom; E = -7.5961 eV per atom; ρ = 17.390 Mg/m³
1.0
4.973 0.000 0.000
0.000 4.973 0.000
0.000 0.000 3.077
Ir N
4 2
Direct
0.220 0.220 0.000 Ir
0.280 0.720 0.500 Ir
0.720 0.280 0.500 Ir
0.780 0.780 0.000 Ir
0.000 0.000 0.500 N
0.500 0.500 0.000 N


Ir3N (PBE, optimized geometry); spin magnetization = 0.02 μB per formula unit; volume = 12.7 Å³/atom; E = -7.9665 eV per atom; ρ = 19.381 Mg/m³
1.0
2.766 0.000 0.000
-1.383 2.395 0.000
0.000 0.000 7.638
Ir N
3 1
Direct
0.000 0.000 0.000 Ir
0.333 0.667 0.294 Ir
0.333 0.667 0.706 Ir
0.000 0.000 0.500 N